Here is an optimized crystal structure of Zr2ZnI from the Alexandria database. Energies are from PBE.

POSCAR file:
```
Zr2ZnI
1.0
5.9791 0.0000 0.0000
0.0000 5.9791 0.0000
2.9895 2.9895 6.7937
I Zr Zn
2 4 2
Direct
0.0000 0.0000 0.0000
0.7500 0.2500 0.5000
0.8750 0.8190 0.7500
0.5690 0.1250 0.2500
0.1810 0.6250 0.2500
0.3750 0.4310 0.7500
0.2500 0.7500 0.5000
0.5000 0.5000 0.0000
```

Summary:
Raw formation energy in eV per atom: 0.61
SG: I-42d (122)
ΔE to the lowest computed polymorph in meV per atom: 517.8
Crystal system: tetragonal


Here is an optimized crystal structure of Cs4ErBr6 from the Alexandria database. Energies are from PBE.

POSCAR file:
```
Cs4ErBr6
1.0
-0.7993 9.7880 2.9154
-1.0406 -2.9872 9.7436
10.6256 0.4854 1.2836
Cs Br Er
8 12 2
Direct
0.1835 0.6835 0.7500
0.3165 0.1835 0.2500
0.6835 0.8165 0.2500
0.6835 0.8165 0.7500
0.1835 0.6835 0.2500
0.8165 0.3165 0.2500
0.3165 0.1835 0.7500
0.8165 0.3165 0.7500
0.5000 0.5000 0.7365
0.0000 0.0000 0.2365
0.9274 0.7329 0.5000
0.5000 0.5000 0.2635
0.7329 0.0726 0.5000
0.0000 0.0000 0.7635
0.4274 0.7671 0.0000
0.2671 0.9274 0.5000
0.7671 0.5726 0.0000
0.5726 0.2329 0.0000
0.0726 0.2671 0.5000
0.2329 0.4274 0.0000
0.0000 0.0000 0.5000
0.5000 0.5000 0.0000
```

Summary:
Raw formation energy in eV per atom: -1.68
SG: P4/mnc (128)
Crystal system: tetragonal


Here is an optimized crystal structure of LiP3 from the Alexandria database. Energies are from PBE.

POSCAR file:
```
LiP3
1.0
-2.5042 -0.6927 -1.8212
2.5953 -1.8221 -0.1116
-2.6210 -4.0484 5.1437
P Li
3 1
Direct
0.6667 0.3333 0.7227
0.6667 0.3333 0.2773
0.0000 0.0000 0.5000
0.0000 0.0000 0.0000
```

Summary:
SG: P-6m2 (187)
ΔE to the lowest computed polymorph in meV per atom: 142.2
Crystal system: hexagonal


Here is an optimized crystal structure of NaTiO3 from the Alexandria database. Energies are from PBE.

POSCAR file:
```
NaTiO3
1.0
6.1863 0.0808 0.0352
-2.7619 5.8609 0.0221
-0.0053 -1.1432 3.4516
O Na Ti
6 2 2
Direct
0.3319 0.3634 0.1047
0.2889 0.0616 0.4538
0.8820 0.6946 0.7701
0.8732 0.9299 0.8881
0.3388 0.7403 0.7932
0.9266 0.3000 0.5728
0.7691 0.4258 0.1357
0.6197 0.9007 0.3735
0.1943 0.9615 0.9037
0.2335 0.4050 0.6254
```

Summary:
Raw formation energy in eV per atom: -2.31
SG: Cm (8)
Crystal system: monoclinic


Here is an optimized crystal structure of Pm2Al4PtRh3 from the Alexandria database. Energies are from PBE.

POSCAR file:
```
Pm2Al4PtRh3
1.0
4.2536 0.0000 0.0000
0.0000 4.2536 0.0000
0.0000 0.0000 10.2678
Al Rh Pm Pt
4 3 2 1
Direct
0.5000 0.5000 0.0000
0.0000 0.5000 0.3729
0.0000 0.0000 0.0000
0.5000 0.0000 0.6271
0.0000 0.0000 0.5000
0.5000 0.0000 0.8698
0.0000 0.5000 0.1302
0.0000 0.5000 0.7452
0.5000 0.0000 0.2548
0.5000 0.5000 0.5000
```

Summary:
SG: P-4m2 (115)
Total DFT energy (no corrections) in eV per atom: -6.20
Crystal system: tetragonal


Here is an optimized crystal structure of SmPuNpN3 from the Alexandria database. Energies are from PBE.

POSCAR file:
```
SmPuNpN3
1.0
-1.9091 2.3437 -1.5868
-4.2266 0.2858 5.5072
4.5942 6.2460 3.6981
N Sm Np Pu
6 2 2 2
Direct
0.2500 0.6114 0.8983
0.7500 0.3886 0.1017
0.7500 0.8459 0.1352
0.7500 0.1209 0.4042
0.2500 0.8791 0.5958
0.2500 0.1541 0.8648
0.7500 0.8825 0.8376
0.2500 0.1175 0.1624
0.7500 0.3842 0.8547
0.2500 0.6158 0.1453
0.7500 0.7978 0.4426
0.2500 0.2022 0.5574
```

Summary:
Raw formation energy in eV per atom: -1.08
SG: P2_1/m (11)
Crystal system: monoclinic


Here is an optimized crystal structure of Si23W4 from the Alexandria database. Energies are from PBE.

POSCAR file:
```
Si23W4
1.0
10.0590 0.0000 0.0000
0.0000 10.0590 0.0000
0.0000 0.0000 10.0590
Si W
46 8
Direct
0.1155 0.0000 0.3112
0.1817 0.1817 0.1817
0.3845 0.8112 0.5000
0.1817 0.1817 0.8183
0.8845 0.0000 0.6888
0.8183 0.8183 0.8183
0.8112 0.5000 0.3845
0.3183 0.3183 0.6817
0.8183 0.1817 0.8183
0.8845 0.0000 0.3112
0.3183 0.6817 0.3183
0.3112 0.1155 0.0000
0.8183 0.8183 0.1817
0.3183 0.6817 0.6817
0.6817 0.3183 0.6817
0.1155 0.0000 0.6888
0.6888 0.1155 0.0000
0.8112 0.5000 0.6155
0.8183 0.1817 0.1817
0.6817 0.6817 0.3183
0.0000 0.5000 0.7500
0.6817 0.3183 0.3183
0.1888 0.5000 0.3845
0.2500 0.0000 0.5000
0.5000 0.6155 0.1888
0.6817 0.6817 0.6817
0.5000 0.6155 0.8112
0.1817 0.8183 0.1817
0.5000 0.2500 0.0000
0.6155 0.8112 0.5000
0.3845 0.1888 0.5000
0.3112 0.8845 0.0000
0.6888 0.8845 0.0000
0.0000 0.6888 0.8845
0.5000 0.3845 0.1888
0.1888 0.5000 0.6155
0.1817 0.8183 0.8183
0.6155 0.1888 0.5000
0.3183 0.3183 0.3183
0.5000 0.7500 0.0000
0.7500 0.0000 0.5000
0.0000 0.5000 0.2500
0.0000 0.3112 0.8845
0.0000 0.3112 0.1155
0.0000 0.6888 0.1155
0.5000 0.3845 0.8112
0.5000 0.5000 0.5000
0.0000 0.2500 0.5000
0.5000 0.0000 0.7500
0.0000 0.0000 0.0000
0.0000 0.7500 0.5000
0.7500 0.5000 0.0000
0.2500 0.5000 0.0000
0.5000 0.0000 0.2500
```

Summary:
Raw formation energy in eV per atom: 0.89
SG: Pm-3n (223)
Crystal system: cubic


Here is an optimized crystal structure of YMgPb2S from the Alexandria database. Energies are from PBE.

POSCAR file:
```
YMgPb2S
1.0
-3.6754 0.2998 -4.1930
3.0209 -2.9754 -2.8607
-2.6068 -4.5320 1.9609
Y Pb Mg S
1 2 1 1
Direct
0.0000 0.5000 0.0000
0.5000 0.0000 0.0000
0.0000 0.0000 0.5000
0.5000 0.5000 0.5000
0.0000 0.0000 0.0000
```

Summary:
Raw formation energy in eV per atom: -0.20
SG: P4/mmm (123)
Crystal system: tetragonal


Here is an optimized crystal structure of CaSmGa from the Alexandria database. Energies are from PBE.

POSCAR file:
```
CaSmGa
1.0
5.0735 0.0001 0.0693
2.5361 4.3940 0.0481
-0.1127 -0.0250 8.1772
Ca Ga Sm
2 2 2
Direct
0.6667 0.1667 0.3564
0.3333 0.8333 0.6436
0.0000 0.5000 0.1751
0.0000 0.5000 0.8249
0.6666 0.1667 0.8989
0.3334 0.8333 0.1011
```

Summary:
SG: P-3m1 (164)
ΔE to the lowest computed polymorph in meV per atom: 139.8
Crystal system: trigonal


Here is an optimized crystal structure of Ta6CrRu from the Alexandria database. Energies are from PBE.

POSCAR file:
```
Ta6CrRu
1.0
4.3369 0.0002 1.3059
-0.3935 4.3188 1.3064
0.1670 0.1822 7.2991
Ta Cr Ru
6 1 1
Direct
0.1187 0.6186 0.7627
0.6186 0.1187 0.7627
0.7473 0.7472 0.5056
0.8813 0.3814 0.2373
0.2527 0.2528 0.4944
0.3814 0.8813 0.2373
0.5000 0.5000 0.0000
0.0000 0.0000 0.0000
```

Summary:
SG: I4/mmm (139)
Total DFT energy (no corrections) in eV per atom: -11.40
Crystal system: tetragonal


no.,spin magnetization (μB/f.u.)
1,0.0
2,0.4
3,0.0
4,0.0
5,0.0
6,8.8
7,11.6
8,0.0
9,0.0
10,0.0